{
  "formula": "PmGa2CuPt2",
  "functional": "PBE",
  "state": "relaxed",
  "lattice_angstrom": [[-2.4019, 2.4019, 5.5478], [2.4019, -2.4019, 5.5478], [2.4019, 2.4019, -5.5478]],
  "species": ["Pm", "Ga", "Ga", "Cu", "Pt", "Pt"],
  "frac_coords": [[0.0000, 0.0000, 0.0000], [0.2947, 0.2947, 0.0000], [0.7053, 0.7053, 0.0000], [0.5000, 0.5000, 0.0000], [0.2500, 0.7500, 0.5000], [0.7500, 0.2500, 0.5000]],
  "magnetic_moment_mub_per_fu": 0.00,
  "vol_a3_per_atom": 21.3,
  "final_energy_ev_per_atom": -4.77
}